Record 1
Below is crystalline Sr2CaMn2 at its relaxed geometry, with properties calculated at the GGA-PBE level.

Output
The formation energy comes out at 0.47 eV/atom. For the energy above the lowest structure with this stoichiometry, the calculation gives 0.0000 eV per atom. The electronic total energy is -4.275 eV per atom.

Cell and atoms, written as CIF:
```
data_Sr2CaMn2
_chemical_formula_sum 'Sr4 Ca2 Mn4'
_space_group_name_H-M_alt 'P 4/m b m'
_space_group_IT_number 127
_space_group_name_Hall '-P 4 2ab'
_cell_length_a 8.297
_cell_length_b 8.297
_cell_length_c 4.845
_cell_angle_alpha 90.00
_cell_angle_beta 90.00
_cell_angle_gamma 90.00
loop_
_atom_site_label
_atom_site_fract_x
_atom_site_fract_y
_atom_site_fract_z
_atom_site_occupancy
Sr1 0.171 0.329 0.000 1
Ca1 0.000 0.000 0.500 1
Mn1 0.108 0.608 0.500 1
```

=====

Record 2
Below is crystalline SrCaMn2 at its relaxed geometry, with properties calculated at the GGA-PBE level.

Output
The formation energy comes out at 0.58 eV/atom. For the energy above the lowest structure with this stoichiometry, the calculation gives 0.0812 eV per atom. The electronic total energy is -4.922 eV per atom.

Cell and atoms, written as CIF:
```
data_SrCaMn2
_chemical_formula_sum 'Sr1 Ca1 Mn2'
_space_group_name_H-M_alt 'P 4/m m m'
_space_group_IT_number 123
_space_group_name_Hall '-P 4 2'
_cell_length_a 3.897
_cell_length_b 3.897
_cell_length_c 7.401
_cell_angle_alpha 90.00
_cell_angle_beta 90.00
_cell_angle_gamma 90.00
loop_
_atom_site_label
_atom_site_fract_x
_atom_site_fract_y
_atom_site_fract_z
_atom_site_occupancy
Sr1 0.000 0.000 0.000 1
Ca1 0.000 0.000 0.500 1
Mn1 0.500 0.500 0.298 1
```

=====

Record 3
Below is crystalline SrCaMn2 at its relaxed geometry, with properties calculated at the GGA-PBE level.

Output
The formation energy comes out at 0.61 eV/atom. For the energy above the lowest structure with this stoichiometry, the calculation gives 0.1074 eV per atom. The electronic total energy is -4.896 eV per atom.

Cell and atoms, written as CIF:
```
data_SrCaMn2
_chemical_formula_sum 'Sr1 Ca1 Mn2'
_space_group_name_H-M_alt 'P 4/m m m'
_space_group_IT_number 123
_space_group_name_Hall '-P 4 2'
_cell_length_a 5.368
_cell_length_b 5.368
_cell_length_c 3.811
_cell_angle_alpha 90.00
_cell_angle_beta 90.00
_cell_angle_gamma 90.00
loop_
_atom_site_label
_atom_site_fract_x
_atom_site_fract_y
_atom_site_fract_z
_atom_site_occupancy
Sr1 0.000 0.000 0.000 1
Ca1 0.500 0.500 0.000 1
Mn1 0.000 0.500 0.500 1
```

=====

Record 4
Below is crystalline SrCaMn at its relaxed geometry, with properties calculated at the GGA-PBE level.

Output
The formation energy comes out at 0.59 eV/atom. For the energy above the lowest structure with this stoichiometry, the calculation gives 0.2022 eV per atom. The electronic total energy is -3.696 eV per atom.

Cell and atoms, written as CIF:
```
data_SrCaMn
_chemical_formula_sum 'Sr4 Ca4 Mn4'
_space_group_name_H-M_alt 'F -4 3 m'
_space_group_IT_number 216
_space_group_name_Hall 'F -4 2 3'
_cell_length_a 7.707
_cell_length_b 7.707
_cell_length_c 7.707
_cell_angle_alpha 90.00
_cell_angle_beta 90.00
_cell_angle_gamma 90.00
loop_
_atom_site_label
_atom_site_fract_x
_atom_site_fract_y
_atom_site_fract_z
_atom_site_occupancy
Sr1 0.000 0.000 0.000 1
Ca1 0.000 0.000 0.500 1
Mn1 0.250 0.250 0.250 1
```

=====

Record 5
Below is crystalline SrCaMn3 at its relaxed geometry, with properties calculated at the GGA-PBE level.

Output
The formation energy comes out at 1.23 eV/atom. For the energy above the lowest structure with this stoichiometry, the calculation gives 0.0000 eV per atom. The electronic total energy is -5.006 eV per atom.

Cell and atoms, written as CIF:
```
data_SrCaMn3
_chemical_formula_sum 'Sr1 Ca1 Mn3'
_space_group_name_H-M_alt 'P m -3 m'
_space_group_IT_number 221
_space_group_name_Hall '-P 4 2 3'
_cell_length_a 5.282
_cell_length_b 5.282
_cell_length_c 5.282
_cell_angle_alpha 90.00
_cell_angle_beta 90.00
_cell_angle_gamma 90.00
loop_
_atom_site_label
_atom_site_fract_x
_atom_site_fract_y
_atom_site_fract_z
_atom_site_occupancy
Sr1 0.000 0.000 0.000 1
Ca1 0.500 0.500 0.500 1
Mn1 0.000 0.500 0.500 1
```

=====

Record 6
Below is crystalline SrCa2Mn at its relaxed geometry, with properties calculated at the GGA-PBE level.

Output
The formation energy comes out at 0.40 eV/atom. For the energy above the lowest structure with this stoichiometry, the calculation gives 0.1225 eV per atom. The electronic total energy is -3.313 eV per atom.

Cell and atoms, written as CIF:
```
data_SrCa2Mn
_chemical_formula_sum 'Sr1 Ca2 Mn1'
_space_group_name_H-M_alt 'P 4/m m m'
_space_group_IT_number 123
_space_group_name_Hall '-P 4 2'
_cell_length_a 5.132
_cell_length_b 5.132
_cell_length_c 5.458
_cell_angle_alpha 90.00
_cell_angle_beta 90.00
_cell_angle_gamma 90.00
loop_
_atom_site_label
_atom_site_fract_x
_atom_site_fract_y
_atom_site_fract_z
_atom_site_occupancy
Sr1 0.000 0.000 0.000 1
Ca1 0.000 0.500 0.500 1
Mn1 0.500 0.500 0.000 1
```

=====

Record 7
Below is crystalline Sr2CaMn at its relaxed geometry, with properties calculated at the GGA-PBE level.

Output
The formation energy comes out at 0.43 eV/atom. For the energy above the lowest structure with this stoichiometry, the calculation gives 0.1369 eV per atom. The electronic total energy is -3.199 eV per atom.

Cell and atoms, written as CIF:
```
data_Sr2CaMn
_chemical_formula_sum 'Sr8 Ca4 Mn4'
_space_group_name_H-M_alt 'F -4 3 m'
_space_group_IT_number 216
_space_group_name_Hall 'F -4 2 3'
_cell_length_a 8.389
_cell_length_b 8.389
_cell_length_c 8.389
_cell_angle_alpha 90.00
_cell_angle_beta 90.00
_cell_angle_gamma 90.00
loop_
_atom_site_label
_atom_site_fract_x
_atom_site_fract_y
_atom_site_fract_z
_atom_site_occupancy
Sr1 0.000 0.000 0.000 1
Sr2 0.250 0.250 0.250 1
Ca1 0.250 0.250 0.750 1
Mn1 0.000 0.000 0.500 1
```

=====

Record 8
Below is crystalline SrCa2Mn at its relaxed geometry, with properties calculated at the GGA-PBE level.

Output
The formation energy comes out at 1.11 eV/atom. For the energy above the lowest structure with this stoichiometry, the calculation gives 0.8358 eV per atom. The electronic total energy is -2.600 eV per atom.

Cell and atoms, written as CIF:
```
data_SrCa2Mn
_chemical_formula_sum 'Sr4 Ca8 Mn4'
_space_group_name_H-M_alt 'I 41/a m d'
_space_group_IT_number 141
_cell_length_a 7.619
_cell_length_b 7.619
_cell_length_c 10.758
_cell_angle_alpha 90.00
_cell_angle_beta 90.00
_cell_angle_gamma 90.00
loop_
_space_group_symop_operation_xyz
'x,y,z'
'-x,-y,-z'
'-y+1/4,x+3/4,z+1/4'
'y+1/4,-x+3/4,-z+1/4'
'-x+1/2,-y,z+1/2'
'x+1/2,y,-z+1/2'
'y+1/4,-x+1/4,z+3/4'
'-y+1/4,x+1/4,-z+3/4'
'x,-y,-z'
'-x,y,z'
'-y+1/4,-x+1/4,-z+3/4'
'y+1/4,x+1/4,z+3/4'
'-x+1/2,y,-z+1/2'
'x+1/2,-y,z+1/2'
'y+1/4,x+3/4,-z+1/4'
'-y+1/4,-x+3/4,z+1/4'
'x+1/2,y+1/2,z+1/2'
'-x+1/2,-y+1/2,-z+1/2'
'-y+3/4,x+1/4,z+3/4'
'y+3/4,-x+1/4,-z+3/4'
'-x,-y+1/2,z'
'x,y+1/2,-z'
'y+3/4,-x+3/4,z+1/4'
'-y+3/4,x+3/4,-z+1/4'
'x+1/2,-y+1/2,-z+1/2'
'-x+1/2,y+1/2,z+1/2'
'-y+3/4,-x+3/4,-z+1/4'
'y+3/4,x+3/4,z+1/4'
'-x,y+1/2,-z'
'x,-y+1/2,z'
'y+3/4,x+1/4,-z+3/4'
'-y+3/4,-x+1/4,z+3/4'
loop_
_atom_site_label
_atom_site_fract_x
_atom_site_fract_y
_atom_site_fract_z
_atom_site_occupancy
Sr1 0.000 0.250 0.375 1
Ca1 0.000 0.000 0.000 1
Mn1 0.000 0.250 0.875 1
```

=====

> energy above the lowest structure with this stoichiometry of number 3 (SrCaMn2)?

0.1074 eV per atom